Record 1
Compound: Ta3BiH
Source: the Alexandria database
Functional: PBE
Structure: optimized geometry

Energy above the lowest structure with this stoichiometry = 0 meV/atom
DFT total energy = -8.272 eV/atom
Total magnetic moment = 0.000 μB per atom
SG = Pm-3m (221)

POSCAR file:
```
Ta3BiH
1.0
4.308 0.000 0.000
0.000 4.308 0.000
0.000 0.000 4.308
Ta Bi H
3 1 1
Direct
0.000 0.000 0.500 Ta
0.500 0.000 0.000 Ta
0.000 0.500 0.000 Ta
0.500 0.500 0.500 Bi
0.000 0.000 0.000 H
```


Record 2
Compound: Y5ZrSb6
Source: the Alexandria database
Functional: PBE
Structure: optimized geometry

DFT total energy = -6.533 eV/atom
Total magnetic moment = 0.000 μB per atom
SG = C2/m (12)

POSCAR file:
```
Y5ZrSb6
1.0
-3.503 -2.836 6.020
2.582 3.352 6.218
-3.326 6.233 2.569
Y Sb Zr
5 6 1
Direct
0.500 0.171 0.658 Y
0.000 0.335 0.330 Y
0.500 0.500 0.000 Y
0.000 0.665 0.670 Y
0.500 0.829 0.342 Y
0.243 0.919 0.675 Sb
0.752 0.759 0.000 Sb
0.757 0.081 0.325 Sb
0.248 0.241 0.000 Sb
0.757 0.406 0.675 Sb
0.243 0.594 0.325 Sb
0.000 0.000 0.000 Zr
```


Record 3
Compound: ScZn2Pd5
Source: the Alexandria database
Functional: PBE
Structure: optimized geometry

Energy above the lowest structure with this stoichiometry = 106 meV/atom
DFT total energy = -4.943 eV/atom
Formation enthalpy at 0 K = -0.588 eV/atom
Total magnetic moment = 0.000 μB per atom
SG = I4/mcm (140)

POSCAR file:
```
ScZn2Pd5
1.0
-0.859 -5.091 4.440
5.103 -3.422 -2.936
1.402 6.611 2.629
Pd Zn Sc
10 4 2
Direct
0.500 0.500 0.000 Pd
0.304 0.804 0.313 Pd
0.491 0.696 0.687 Pd
0.804 0.009 0.313 Pd
0.000 0.000 0.000 Pd
0.509 0.304 0.313 Pd
0.991 0.491 0.687 Pd
0.196 0.991 0.687 Pd
0.009 0.509 0.313 Pd
0.696 0.196 0.687 Pd
0.648 0.148 0.000 Zn
0.852 0.648 0.000 Zn
0.148 0.352 0.000 Zn
0.352 0.852 0.000 Zn
0.750 0.750 0.500 Sc
0.250 0.250 0.500 Sc
```


Record 4
Compound: TiSnS2
Source: the Alexandria database
Functional: PBE
Structure: optimized geometry

DFT total energy = -5.966 eV/atom
Total magnetic moment = 0.000 μB per atom
SG = C2/m (12)

POSCAR file:
```
TiSnS2
1.0
8.958 0.000 1.662
1.761 1.694 -2.365
-1.761 1.694 2.365
S Ti Sn
2 1 1
Direct
0.321 0.290 0.710 S
0.679 0.710 0.290 S
0.500 0.500 0.500 Ti
0.000 0.000 0.000 Sn
```


Record 5
Compound: Nd4Cu3Sb8
Source: the Alexandria database
Functional: PBE
Structure: optimized geometry

DFT total energy = -4.992 eV/atom
Total magnetic moment = 0.000 μB per atom
SG = P-4m2 (115)

POSCAR file:
```
Nd4Cu3Sb8
1.0
-0.384 1.646 4.056
-4.287 -0.963 -0.015
3.978 -17.830 7.611
Sb Nd Cu
8 4 3
Direct
0.000 0.500 0.422 Sb
0.000 0.000 0.755 Sb
0.500 0.000 0.578 Sb
0.500 0.500 0.755 Sb
0.500 0.000 0.068 Sb
0.000 0.000 0.245 Sb
0.500 0.500 0.245 Sb
0.000 0.500 0.932 Sb
0.000 0.500 0.627 Nd
0.000 0.500 0.117 Nd
0.500 0.000 0.883 Nd
0.500 0.000 0.373 Nd
0.000 0.000 0.500 Cu
0.500 0.500 0.500 Cu
0.000 0.000 0.000 Cu
```


Record 6
Compound: La5Pm4Tl2
Source: the Alexandria database
Functional: PBE
Structure: optimized geometry

DFT total energy = -4.330 eV/atom
Formation enthalpy at 0 K = 0.068 eV/atom
Total magnetic moment = 0.071 μB per atom
SG = Immm (71)

POSCAR file:
```
La5Pm4Tl2
1.0
3.651 0.000 0.000
0.000 9.930 0.000
-1.825 -4.965 11.057
La Pm Tl
5 4 2
Direct
0.156 0.366 0.312 La
0.844 0.054 0.688 La
0.156 0.946 0.312 La
0.844 0.634 0.688 La
0.500 0.000 0.000 La
0.587 0.587 0.173 Pm
0.000 0.287 0.000 Pm
0.413 0.413 0.827 Pm
0.000 0.713 0.000 Pm
0.272 0.272 0.544 Tl
0.728 0.728 0.456 Tl
```


Record 7
Compound: Tm8AsPb5
Source: the Alexandria database
Functional: PBE
Structure: optimized geometry

DFT total energy = -4.794 eV/atom
Formation enthalpy at 0 K = -0.582 eV/atom
Total magnetic moment = 0.000 μB per atom
SG = I-4 (82)

POSCAR file:
```
Tm8AsPb5
1.0
-1.159 6.406 -4.556
-4.177 -6.133 -2.840
-2.363 1.692 7.395
Pb Tm As
5 8 1
Direct
0.500 0.000 0.500 Pb
0.994 0.370 0.122 Pb
0.375 0.128 0.006 Pb
0.752 0.630 0.625 Pb
0.878 0.872 0.248 Pb
0.129 0.737 0.005 Tm
0.608 0.876 0.871 Tm
0.127 0.750 0.524 Tm
0.476 0.603 0.226 Tm
0.774 0.250 0.377 Tm
0.995 0.124 0.732 Tm
0.268 0.263 0.392 Tm
0.623 0.397 0.873 Tm
0.250 0.500 0.750 As
```


Record 8
Compound: Ba2Ge2Pb
Source: the Alexandria database
Functional: PBE
Structure: optimized geometry

Energy above the lowest structure with this stoichiometry = 0 meV/atom
DFT total energy = -3.898 eV/atom
Formation enthalpy at 0 K = -0.541 eV/atom
Total magnetic moment = 0.000 μB per atom
SG = Cmmm (65)

POSCAR file:
```
Ba2Ge2Pb
1.0
-0.728 0.518 -4.914
-3.687 -1.985 0.337
-1.757 7.894 1.093
Ge Ba Pb
2 2 1
Direct
0.000 0.202 0.405 Ge
0.000 0.798 0.595 Ge
0.500 0.371 0.742 Ba
0.500 0.629 0.258 Ba
0.000 0.000 0.000 Pb
```


Record 9
Compound: Ac4SeS5
Source: the Alexandria database
Functional: PBE
Structure: optimized geometry

Energy above the lowest structure with this stoichiometry = 0 meV/atom
DFT total energy = -6.149 eV/atom
Total magnetic moment = 0.000 μB per atom
SG = C2/m (12)

POSCAR file:
```
Ac4SeS5
1.0
4.515 0.000 0.000
0.000 8.185 -1.423
-2.257 -2.629 9.164
Ac Se S
4 1 5
Direct
0.000 0.738 0.000 Ac
0.287 0.787 0.574 Ac
0.713 0.213 0.426 Ac
0.000 0.262 0.000 Ac
0.500 0.000 0.000 Se
0.832 0.605 0.663 S
0.500 0.500 0.000 S
0.168 0.941 0.337 S
0.168 0.395 0.337 S
0.832 0.059 0.663 S
```


Record 10
Compound: BeCd3Au
Source: the Alexandria database
Functional: PBE
Structure: optimized geometry

Energy above the lowest structure with this stoichiometry = 0 meV/atom
DFT total energy = -1.645 eV/atom
Formation enthalpy at 0 K = 0.305 eV/atom
Total magnetic moment = 0.000 μB per atom
SG = Pm-3m (221)

POSCAR file:
```
BeCd3Au
1.0
4.701 0.000 0.000
0.000 4.701 0.000
0.000 0.000 4.701
Cd Au Be
3 1 1
Direct
0.500 0.000 0.000 Cd
0.000 0.500 0.000 Cd
0.000 0.000 0.500 Cd
0.500 0.500 0.500 Au
0.000 0.000 0.000 Be
```


Record 11
Compound: NbZn2Pd2
Source: the Alexandria database
Functional: PBE
Structure: optimized geometry

Energy above the lowest structure with this stoichiometry = 0 meV/atom
DFT total energy = -4.882 eV/atom
Formation enthalpy at 0 K = -0.281 eV/atom
Total magnetic moment = 0.000 μB per atom
SG = P4/mbm (127)

POSCAR file:
```
NbZn2Pd2
1.0
7.391 0.000 0.000
0.000 7.391 0.000
0.000 0.000 2.820
Zn Nb Pd
4 2 4
Direct
0.878 0.622 0.000 Zn
0.122 0.378 0.000 Zn
0.622 0.122 0.000 Zn
0.378 0.878 0.000 Zn
0.500 0.500 0.000 Nb
0.000 0.000 0.000 Nb
0.823 0.323 0.500 Pd
0.323 0.177 0.500 Pd
0.177 0.677 0.500 Pd
0.677 0.823 0.500 Pd
```


Record 12
Compound: RbNaTl2Cl4
Source: the Alexandria database
Functional: PBE
Structure: optimized geometry

DFT total energy = -3.213 eV/atom
Total magnetic moment = 0.000 μB per atom
SG = P2/m (10)

POSCAR file:
```
RbNaTl2Cl4
1.0
-0.357 -1.127 -4.346
1.275 -7.516 1.844
-6.828 -3.479 1.462
Cl Tl Na Rb
4 2 1 1
Direct
0.500 0.731 0.271 Cl
0.000 0.263 0.268 Cl
0.000 0.737 0.732 Cl
0.500 0.269 0.729 Cl
0.000 0.000 0.000 Tl
0.500 0.000 0.500 Tl
0.000 0.500 0.500 Na
0.500 0.500 0.000 Rb
```


Repeat the seventh record exactly.
Compound: Tm8AsPb5
Source: the Alexandria database
Functional: PBE
Structure: optimized geometry

DFT total energy = -4.794 eV/atom
Formation enthalpy at 0 K = -0.582 eV/atom
Total magnetic moment = 0.000 μB per atom
SG = I-4 (82)

POSCAR file:
```
Tm8AsPb5
1.0
-1.159 6.406 -4.556
-4.177 -6.133 -2.840
-2.363 1.692 7.395
Pb Tm As
5 8 1
Direct
0.500 0.000 0.500 Pb
0.994 0.370 0.122 Pb
0.375 0.128 0.006 Pb
0.752 0.630 0.625 Pb
0.878 0.872 0.248 Pb
0.129 0.737 0.005 Tm
0.608 0.876 0.871 Tm
0.127 0.750 0.524 Tm
0.476 0.603 0.226 Tm
0.774 0.250 0.377 Tm
0.995 0.124 0.732 Tm
0.268 0.263 0.392 Tm
0.623 0.397 0.873 Tm
0.250 0.500 0.750 As
```